VASP calculation (PBE) on crystalline Y2Tc3 at its relaxed geometry.

Properties
- ΔH_f (0 K) (eV per formula unit) = 2.2
- M_tot (μB per atom) = 0.00
- polymorph energy (0 for the lowest one) (meV per atom) = 477

a b c (Å): 3.4190 3.4190 10.5216
angles (deg): 90.00 90.00 120.00
Element x y z (fractional)
Y 0.3333 0.6667 0.8027
Tc 0.3333 0.6667 0.4353
Tc 0.0000 0.0000 0.0000
Y 0.6667 0.3333 0.1973
Tc 0.6667 0.3333 0.5647


VASP calculation (PBE) on crystalline YTc3 at its relaxed geometry.

Properties
- ΔH_f (0 K) (eV per formula unit) = 1.5
- M_tot (μB per atom) = 0.00
- polymorph energy (0 for the lowest one) (meV per atom) = 188

a b c (Å): 6.3197 6.3197 8.4220
angles (deg): 90.00 90.00 60.00
Element x y z (fractional)
Tc 0.0000 0.5000 0.5000
Tc 0.8018 0.3964 0.7500
Tc 0.1982 0.1982 0.2500
Tc 0.1982 0.6036 0.2500
Tc 0.5000 0.5000 0.5000
Tc 0.0000 0.5000 0.0000
Y 0.0000 0.0000 0.5000
Tc 0.5000 0.5000 0.0000
Tc 0.3964 0.8018 0.7500
Tc 0.6036 0.1982 0.2500
Tc 0.5000 0.0000 0.0000
Y 0.0000 0.0000 0.0000
Tc 0.5000 0.0000 0.5000
Y 0.6667 0.6667 0.2500
Tc 0.8018 0.8018 0.7500
Y 0.3333 0.3333 0.7500


VASP calculation (PBE) on crystalline Y2Tc3 at its relaxed geometry.

Properties
- ΔH_f (0 K) (eV per formula unit) = -0.1
- M_tot (μB per atom) = 0.00
- polymorph energy (0 for the lowest one) (meV per atom) = 0

a b c (Å): 8.8470 7.8491 5.7851
angles (deg): 79.34 60.68 39.99
Element x y z (fractional)
Y 0.8186 0.2795 0.5162
Y 0.3857 0.5162 0.2795
Y 0.9705 0.4314 0.8643
Tc 0.8079 0.9440 0.8629
Tc 0.3060 0.4421 0.8648
Tc 0.3852 0.8629 0.9440
Y 0.7338 0.8643 0.4314
Tc 0.3526 0.1474 0.1474
Tc 0.3871 0.8648 0.4421
Tc 0.1026 0.8974 0.8974


VASP calculation (PBE) on crystalline YTc at its relaxed geometry.

Properties
- ΔH_f (0 K) (eV per formula unit) = 1.9
- M_tot (μB per atom) = 0.52

a b c (Å): 4.0343 4.0343 4.0343
angles (deg): 60.00 60.00 60.00
Site moments in Bohr magnetons follow the coordinates.
Element x y z (fractional)
Y 0.5000 0.5000 0.5000  -0.03
Tc 0.0000 0.0000 0.0000  0.97


VASP calculation (PBE) on crystalline YTc3 at its relaxed geometry.

Properties
- ΔH_f (0 K) (eV per formula unit) = 1.0
- M_tot (μB per atom) = 0.00
- polymorph energy (0 for the lowest one) (meV per atom) = 62

a b c (Å): 7.2512 7.2512 7.2512
angles (deg): 143.34 143.34 52.81
Element x y z (fractional)
Tc 0.8712 0.8712 0.0000
Y 0.6245 0.6245 0.0000
Tc 0.0000 0.5000 0.5000
Tc 0.1288 0.1288 0.0000
Tc 0.5000 0.0000 0.5000
Tc 0.2500 0.7500 0.5000
Y 0.3755 0.3755 0.0000
Tc 0.7500 0.2500 0.5000


VASP calculation (PBE) on crystalline YTc at its relaxed geometry.

Properties
- ΔH_f (0 K) (eV per formula unit) = 0.5
- M_tot (μB per atom) = 0.00

a b c (Å): 9.5530 9.5529 4.1131
angles (deg): 90.00 90.00 90.00
Element x y z (fractional)
Y 0.3008 0.3763 0.5000
Tc 0.9580 0.3674 0.5000
Y 0.8008 0.1237 0.0000
Y 0.6992 0.6237 0.5000
Tc 0.3674 0.0420 0.5000
Tc 0.6326 0.9580 0.5000
Y 0.8763 0.8008 0.0000
Tc 0.5420 0.8674 0.0000
Tc 0.4580 0.1326 0.0000
Y 0.1992 0.8763 0.0000
Tc 0.8674 0.4580 0.0000
Y 0.6237 0.3008 0.5000
Tc 0.0420 0.6326 0.5000
Tc 0.1326 0.5420 0.0000
Y 0.3763 0.6992 0.5000
Y 0.1237 0.1992 0.0000